{
  "formula": "CsFePbS3",
  "functional": "PBE-GGA",
  "state": "optimized geometry",
  "lattice_angstrom": [[-3.573, 3.696, 6.132], [-0.012, -2.362, -7.645], [-4.958, -9.865, 3.056]],
  "species": ["Pb", "S", "Fe", "S", "Cs", "S", "S", "Fe", "S", "Pb", "Cs", "S"],
  "frac_coords": [[0.000, 0.000, 0.500], [0.962, 0.038, 0.250], [0.546, 0.454, 0.250], [0.378, 0.622, 0.585], [0.268, 0.732, 0.250], [0.378, 0.622, 0.915], [0.622, 0.378, 0.415], [0.454, 0.546, 0.750], [0.622, 0.378, 0.085], [0.000, 0.000, 0.000], [0.732, 0.268, 0.750], [0.038, 0.962, 0.750]],
  "density_g_cm3": 4.48,
  "final_energy_ev_per_atom": -4.831
}

---

{
  "formula": "CsFePd",
  "functional": "PBE-GGA",
  "state": "optimized geometry",
  "lattice_angstrom": [[0.000, 3.540, 3.540], [3.540, 0.000, 3.540], [3.540, 3.540, 0.000]],
  "species": ["Cs", "Pd", "Fe"],
  "frac_coords": [[0.000, 0.000, 0.000], [0.750, 0.750, 0.750], [0.250, 0.250, 0.250]],
  "density_g_cm3": 5.53,
  "final_energy_ev_per_atom": -3.115
}

---

{
  "formula": "CsPmFe",
  "functional": "PBE-GGA",
  "state": "optimized geometry",
  "lattice_angstrom": [[-2.960, -3.377, 2.789], [-5.238, -0.125, -0.701], [-2.248, -4.143, -2.393]],
  "species": ["Pm", "Fe", "Cs"],
  "frac_coords": [[0.000, 0.000, 0.000], [0.750, 0.750, 0.750], [0.250, 0.250, 0.250]],
  "density_g_cm3": 5.31,
  "relative_energy_mev_per_atom": 0.0,
  "final_energy_ev_per_atom": -3.230
}